Arrangement 1

Below is a geometry-optimized AgAsBr2 structure, with properties calculated at the PBE level.

abc: 5.0843 5.0843 5.0843
angles: 60.00 60.00 60.00
With the nearest neighbours (Å) after each atom.
Positions (direct):
As 0.0000 0.0000 0.0000  8 Br 3.11
Br 0.2500 0.2500 0.2500  4 Ag 3.11, 4 As 3.11
Br 0.7500 0.7500 0.7500  4 Ag 3.11, 4 As 3.11
Ag 0.5000 0.5000 0.5000  8 Br 3.11

- DOS at the Fermi energy: 0.91 states/eV per atom
- Calculated volume: 23.23 A^3/atom



Arrangement 2

Below is a geometry-optimized AgAsBr2 structure, with properties calculated at the PBE level.

abc: 3.6725 3.6725 8.9311
angles: 90.00 90.00 114.43
With the nearest neighbours (Å) after each atom.
Positions (direct):
As 0.5000 0.5000 0.7119  2 Ag 2.62, 2 Br 2.82
Br 0.0000 0.0000 0.9356  2 As 2.82
Br 0.5000 0.5000 0.3320  2 Ag 2.61
Ag 0.0000 0.0000 0.5205  2 Br 2.61, 2 As 2.62

- DOS at the Fermi energy: 0.47 states/eV per atom
- Calculated volume: 27.42 A^3/atom



On energetic grounds, arrangement 2 is preferred over the next structure by 287 meV per atom.